No. 1
A plane-wave DFT calculation with PBE was carried out for a relaxed Ca2Al3Cu12Ag crystal.

The structure in CIF format:
```
data_Ca2Al3Cu12Ag
_cell_length_a 8.8944
_cell_length_b 8.8944
_cell_length_c 12.2621
_cell_angle_alpha 90.00
_cell_angle_beta 90.00
_cell_angle_gamma 120.00
_space_group_name_H-M_alt 'R -3 m'
_space_group_IT_number 166
_space_group_name_Hall '-R 3 2"'
loop_
_atom_site_label
_atom_site_type_symbol
_atom_site_fract_x
_atom_site_fract_y
_atom_site_fract_z
Ca1 Ca 0.0000 0.0000 0.1817
Al1 Al 0.0000 0.5000 0.0000
Cu1 Cu 0.0100 0.5050 0.2045
Cu2 Cu 0.0117 0.5059 0.6019
Ag1 Ag 0.0000 0.0000 0.5000
```



No. 2
A plane-wave DFT calculation with PBE was carried out for a relaxed CaDyAlAg crystal.

Results
distance to the lowest polymorph of the same formula = 0.068 eV per formula unit

The structure in CIF format:
```
data_CaDyAlAg
_cell_length_a 7.334
_cell_length_b 7.334
_cell_length_c 7.334
_cell_angle_alpha 90.00
_cell_angle_beta 90.00
_cell_angle_gamma 90.00
_space_group_name_H-M_alt 'F -4 3 m'
_space_group_IT_number 216
_space_group_name_Hall 'F -4 2 3'
loop_
_atom_site_label
_atom_site_type_symbol
_atom_site_fract_x
_atom_site_fract_y
_atom_site_fract_z
Ca1 Ca 0.000 0.000 0.000
Dy1 Dy 0.000 0.000 0.500
Al1 Al 0.250 0.250 0.250
Ag1 Ag 0.250 0.250 0.750
```



No. 3
A plane-wave DFT calculation with PBE was carried out for a relaxed CaDyAl2Ag5 crystal.

The structure in CIF format:
```
data_CaDyAl2Ag5
_cell_length_a 4.515
_cell_length_b 4.515
_cell_length_c 9.111
_cell_angle_alpha 90.00
_cell_angle_beta 90.00
_cell_angle_gamma 90.00
_space_group_name_H-M_alt 'P 4/m m m'
_space_group_IT_number 123
_space_group_name_Hall '-P 4 2'
loop_
_atom_site_label
_atom_site_type_symbol
_atom_site_fract_x
_atom_site_fract_y
_atom_site_fract_z
Ca1 Ca 0.000 0.000 0.000
Dy1 Dy 0.000 0.000 0.500
Al1 Al 0.500 0.500 0.363
Ag1 Ag 0.000 0.500 0.226
Ag2 Ag 0.500 0.500 0.000
```



No. 4
A plane-wave DFT calculation with PBE was carried out for a relaxed CaDyAlAg crystal.

Results
distance to the lowest polymorph of the same formula = 0.000 eV per formula unit

The structure in CIF format:
```
data_CaDyAlAg
_cell_length_a 3.669
_cell_length_b 3.669
_cell_length_c 7.338
_cell_angle_alpha 90.00
_cell_angle_beta 90.00
_cell_angle_gamma 90.00
_space_group_name_H-M_alt 'P 4 m m'
_space_group_IT_number 99
loop_
_space_group_symop_operation_xyz
'x,y,z'
'-y,x,z'
'-x,-y,z'
'y,-x,z'
'-x,y,z'
'y,x,z'
'x,-y,z'
'-y,-x,z'
loop_
_atom_site_label
_atom_site_type_symbol
_atom_site_fract_x
_atom_site_fract_y
_atom_site_fract_z
Ca1 Ca 0.000 0.000 0.000
Dy1 Dy 0.000 0.000 0.499
Al1 Al 0.500 0.500 0.267
Ag1 Ag 0.500 0.500 0.732
```



No. 5
A plane-wave DFT calculation with PBE was carried out for a relaxed CaErAlAg crystal.

The structure in CIF format:
```
data_CaErAlAg
_cell_length_a 7.301
_cell_length_b 7.301
_cell_length_c 7.301
_cell_angle_alpha 90.00
_cell_angle_beta 90.00
_cell_angle_gamma 90.00
_space_group_name_H-M_alt 'F -4 3 m'
_space_group_IT_number 216
_space_group_name_Hall 'F -4 2 3'
loop_
_atom_site_label
_atom_site_type_symbol
_atom_site_fract_x
_atom_site_fract_y
_atom_site_fract_z
Ca1 Ca 0.000 0.000 0.000
Er1 Er 0.000 0.000 0.500
Al1 Al 0.250 0.250 0.250
Ag1 Ag 0.250 0.250 0.750
```



No. 6
A plane-wave DFT calculation with PBE was carried out for a relaxed CaEuAlAg crystal.

The structure in CIF format:
```
data_CaEuAlAg
_cell_length_a 7.529
_cell_length_b 7.529
_cell_length_c 7.529
_cell_angle_alpha 90.00
_cell_angle_beta 90.00
_cell_angle_gamma 90.00
_space_group_name_H-M_alt 'F -4 3 m'
_space_group_IT_number 216
_space_group_name_Hall 'F -4 2 3'
loop_
_atom_site_label
_atom_site_type_symbol
_atom_site_fract_x
_atom_site_fract_y
_atom_site_fract_z
Ca1 Ca 0.000 0.000 0.000
Eu1 Eu 0.000 0.000 0.500
Al1 Al 0.250 0.250 0.250
Ag1 Ag 0.250 0.250 0.750
```



No. 7
A plane-wave DFT calculation with PBE was carried out for a relaxed CaAlAg2F6 crystal.

Results
formation energy (no corrections) = -25.6 eV per formula unit

The structure in CIF format:
```
data_CaAlAg2F6
_cell_length_a 10.149
_cell_length_b 5.860
_cell_length_c 5.857
_cell_angle_alpha 90.00
_cell_angle_beta 125.18
_cell_angle_gamma 90.00
_space_group_name_H-M_alt 'C 1 2/m 1'
_space_group_IT_number 12
loop_
_space_group_symop_operation_xyz
'x,y,z'
'-x,-y,-z'
'-x,y,-z'
'x,-y,z'
'x+1/2,y+1/2,z'
'-x+1/2,-y+1/2,-z'
'-x+1/2,y+1/2,-z'
'x+1/2,-y+1/2,z'
loop_
_atom_site_label
_atom_site_type_symbol
_atom_site_fract_x
_atom_site_fract_y
_atom_site_fract_z
Ca1 Ca 0.000 0.000 0.000
Al1 Al 0.000 0.500 0.500
Ag1 Ag 0.250 0.000 0.750
F1 F 0.004 0.277 0.281
F2 F 0.223 0.500 0.731
```



No. 8
A plane-wave DFT calculation with PBE was carried out for a relaxed CaAlAgF2 crystal.

Results
formation energy (no corrections) = -8.6 eV per formula unit

The structure in CIF format:
```
data_CaAlAgF2
_cell_length_a 4.210
_cell_length_b 4.210
_cell_length_c 6.700
_cell_angle_alpha 90.00
_cell_angle_beta 90.00
_cell_angle_gamma 90.00
_space_group_name_H-M_alt 'P 4/m m m'
_space_group_IT_number 123
_space_group_name_Hall '-P 4 2'
loop_
_atom_site_label
_atom_site_type_symbol
_atom_site_fract_x
_atom_site_fract_y
_atom_site_fract_z
Ca1 Ca 0.000 0.000 0.000
Al1 Al 0.500 0.500 0.500
Ag1 Ag 0.000 0.000 0.500
F1 F 0.000 0.500 0.000
```



Number 1: electronic total energy -3.67 eV/atom. Number 2: electronic total energy -3.59 eV/atom. Number 3: electronic total energy -3.36 eV/atom. Number 4: electronic total energy -3.61 eV/atom. Number 5: electronic total energy -3.57 eV/atom. Number 6: electronic total energy -4.94 eV/atom. Number 7: electronic total energy -4.83 eV/atom. Number 8: electronic total energy -4.18 eV/atom.